Entry from the Alexandria database: an optimized crystal structure of CrCdF5 (PBE+U).

Cell lengths 3.874, 6.632, 8.170 Å; angles 90.00, 90.00, 90.00 degrees
Fractional positions:
Cr: 0.000 0.000 0.000
Cr: 0.500 0.500 0.500
Cd: 0.000 0.000 0.500
Cd: 0.500 0.500 0.000
F: 0.000 0.000 0.235
F: 0.000 0.000 0.765
F: 0.000 0.296 0.000
F: 0.000 0.500 0.500
F: 0.000 0.704 0.000
F: 0.500 0.000 0.000
F: 0.500 0.204 0.500
F: 0.500 0.500 0.265
F: 0.500 0.500 0.735
F: 0.500 0.796 0.500

Summary:
- Energy: -70.41 eV per cell
- M_tot: 0.4286 μB per atom
- Space-group type: Immm